<w>
# Sr2AlP2

A geometry-optimized Sr2AlP2 structure (GGA-PBE, the Alexandria database).

Lattice parameters (Å, degrees): 6.485 7.743 7.743 108.86 114.75 114.75
Positions (direct):
Sr: 0.681 0.855 0.145
Sr: 0.181 0.645 0.355
Sr: 0.819 0.355 0.645
Sr: 0.319 0.145 0.855
Al: 0.750 0.750 0.750
Al: 0.250 0.250 0.250
P: 0.799 0.108 0.892
P: 0.299 0.392 0.608
P: 0.701 0.608 0.392
P: 0.201 0.892 0.108

Computed properties:
The density is 3.44 g/cm3.

=====

<x>
# Sr2AlP2

A geometry-optimized Sr2AlP2 structure (GGA-PBE, the Alexandria database).

Lattice parameters (Å, degrees): 7.478 7.478 4.340 90.00 90.00 90.00
Positions (direct):
Al: 0.500 0.500 0.000
Al: 0.000 0.000 0.000
Sr: 0.350 0.150 0.500
Sr: 0.150 0.650 0.500
Sr: 0.650 0.850 0.500
Sr: 0.850 0.350 0.500
P: 0.333 0.833 0.000
P: 0.167 0.333 0.000
P: 0.667 0.167 0.000
P: 0.833 0.667 0.000

Computed properties:
The density is 3.61 g/cm3.

=====

Which of them is most stable, and which least? Most stable: <w>; least stable: <x>.

=====

<w>
# Ta2AlP

A geometry-optimized Ta2AlP structure (GGA-PBE, the Alexandria database).

Lattice parameters (Å, degrees): 4.812 4.812 3.008 80.21 80.21 105.05
Positions (direct):
Al: 0.500 0.000 0.500
P: 0.000 0.500 0.500
Ta: 0.000 0.000 0.000
Ta: 0.500 0.500 0.000

Computed properties:
The density is 10.79 g/cm3.

=====

<x>
# Ta2AlP

A geometry-optimized Ta2AlP structure (GGA-PBE, the Alexandria database).

Lattice parameters (Å, degrees): 5.116 5.116 5.116 136.01 136.01 63.97
Positions (direct):
Al: 0.500 0.500 0.000
Ta: 0.250 0.750 0.500
Ta: 0.000 0.000 0.000
P: 0.750 0.250 0.500

Computed properties:
The density is 10.94 g/cm3.

=====

Which of them is most stable, and which least? Most stable: <w>; least stable: <x>.

=====

<w>
# TaAl2P2

A geometry-optimized TaAl2P2 structure (GGA-PBE, the Alexandria database).

Lattice parameters (Å, degrees): 3.159 3.159 8.680 79.52 79.52 90.00
Positions (direct):
P: 0.250 0.750 0.500
P: 0.750 0.250 0.500
Al: 0.392 0.392 0.216
Al: 0.608 0.608 0.784
Ta: 0.000 0.000 0.000

Computed properties:
The density is 5.89 g/cm3.

=====

<x>
# TaAl2P2

A geometry-optimized TaAl2P2 structure (GGA-PBE, the Alexandria database).

Lattice parameters (Å, degrees): 6.889 6.889 3.273 90.00 90.00 90.00
Positions (direct):
Ta: 0.500 0.500 0.000
Ta: 0.000 0.000 0.000
P: 0.180 0.680 0.500
P: 0.680 0.820 0.500
P: 0.320 0.180 0.500
P: 0.820 0.320 0.500
Al: 0.370 0.870 0.000
Al: 0.870 0.630 0.000
Al: 0.630 0.130 0.000
Al: 0.130 0.370 0.000

Computed properties:
The density is 6.35 g/cm3.

=====

Which of them is most stable, and which least? Most stable: <x>; least stable: <w>.

=====

<w>
# Ta2AlP2

A geometry-optimized Ta2AlP2 structure (GGA-PBE, the Alexandria database).

Lattice parameters (Å, degrees): 4.638 4.638 5.122 63.08 63.08 90.00
Positions (direct):
P: 0.363 0.363 0.274
P: 0.637 0.637 0.726
Ta: 0.250 0.750 0.500
Ta: 0.750 0.250 0.500
Al: 0.000 0.000 0.000

Computed properties:
The density is 8.85 g/cm3.

=====

<x>
# Ta2AlP2

A geometry-optimized Ta2AlP2 structure (GGA-PBE, the Alexandria database).

Lattice parameters (Å, degrees): 6.904 6.904 3.210 90.00 90.00 90.00
Positions (direct):
Ta: 0.343 0.157 0.500
Ta: 0.157 0.657 0.500
Ta: 0.843 0.343 0.500
Ta: 0.657 0.843 0.500
Al: 0.500 0.500 0.000
Al: 0.000 0.000 0.000
P: 0.139 0.361 0.000
P: 0.861 0.639 0.000
P: 0.639 0.139 0.000
P: 0.361 0.861 0.000

Computed properties:
The density is 9.78 g/cm3.

=====

Which of them is most stable, and which least? Most stable: <x>; least stable: <w>.

=====

<w>
# Al3TcP

A geometry-optimized Al3TcP structure (GGA-PBE, the Alexandria database).

Lattice parameters (Å, degrees): 4.527 4.527 4.527 90.00 90.00 90.00
Positions (direct):
P: 0.000 0.000 0.000
Al: 0.500 0.000 0.000
Al: 0.000 0.000 0.500
Al: 0.000 0.500 0.000
Tc: 0.500 0.500 0.500

Computed properties:
The density is 3.76 g/cm3.

=====

<x>
# Al3TcP

A geometry-optimized Al3TcP structure (GGA-PBE, the Alexandria database).

Lattice parameters (Å, degrees): 4.717 4.717 4.717 90.00 90.00 90.00
Positions (direct):
Al: 0.000 0.000 0.500
Al: 0.500 0.000 0.000
Al: 0.000 0.500 0.000
Tc: 0.000 0.000 0.000
P: 0.500 0.500 0.500

Computed properties:
The density is 3.32 g/cm3.

=====

Which of them is most stable, and which least? Most stable: <x>; least stable: <w>.

=====

<w>
# AlTeP2

A geometry-optimized AlTeP2 structure (GGA-PBE, the Alexandria database).

Lattice parameters (Å, degrees): 4.690 4.690 4.690 60.00 60.00 60.00
Positions (direct):
P: 0.250 0.250 0.250
P: 0.750 0.750 0.750
Al: 0.000 0.000 0.000
Te: 0.500 0.500 0.500

Computed properties:
The density is 4.93 g/cm3.

=====

<x>
# AlTeP2

A geometry-optimized AlTeP2 structure (GGA-PBE, the Alexandria database).

Lattice parameters (Å, degrees): 3.213 3.213 9.119 90.00 90.00 90.11
Positions (direct):
Te: 0.500 0.500 0.250
Al: 0.500 0.500 0.750
P: 0.000 0.000 0.626
P: 0.000 0.000 0.874

Computed properties:
The density is 3.82 g/cm3.

=====

Which of them is most stable, and which least? Most stable: <x>; least stable: <w>.

=====

<w>
# AlTe2P

A geometry-optimized AlTe2P structure (GGA-PBE, the Alexandria database).

Lattice parameters (Å, degrees): 4.101 4.101 7.023 73.66 73.66 60.22
Positions (direct):
P: 0.250 0.250 0.250
Te: 0.009 0.009 0.999
Te: 0.491 0.491 0.501
Al: 0.750 0.750 0.750

Computed properties:
The density is 5.36 g/cm3.

=====

<x>
# AlTe2P

A geometry-optimized AlTe2P structure (GGA-PBE, the Alexandria database).

Lattice parameters (Å, degrees): 4.029 4.029 5.925 90.00 90.00 90.00
Positions (direct):
P: 0.500 0.500 0.874
Te: 0.000 0.000 0.875
Te: 0.500 0.500 0.374
Al: 0.000 0.000 0.377

Computed properties:
The density is 5.41 g/cm3.

=====

<y>
# AlTe2P

A geometry-optimized AlTe2P structure (GGA-PBE, the Alexandria database).

Lattice parameters (Å, degrees): 3.827 4.453 7.013 69.05 90.00 90.00
Positions (direct):
Te: 0.500 0.289 0.352
Te: 0.000 0.952 0.912
Al: 0.000 0.483 0.577
P: 0.500 0.776 0.659

Computed properties:
The density is 4.66 g/cm3.

=====

<z>
# AlTe2P

A geometry-optimized AlTe2P structure (GGA-PBE, the Alexandria database).

Lattice parameters (Å, degrees): 5.000 5.000 5.000 60.00 60.00 60.00
Positions (direct):
Te: 0.250 0.250 0.250
Te: 0.750 0.750 0.750
P: 0.500 0.500 0.500
Al: 0.000 0.000 0.000

Computed properties:
The density is 5.88 g/cm3.

=====

Which of them is most stable, and which least? Most stable: <y>; least stable: <z>.

=====

<w>
# AlTe2P

A geometry-optimized AlTe2P structure (GGA-PBE, the Alexandria database).

Lattice parameters (Å, degrees): 3.410 3.410 9.057 90.00 90.00 111.09
Positions (direct):
Te: 0.500 0.500 0.321
Te: 0.000 0.000 0.932
P: 0.500 0.500 0.704
Al: 0.000 0.000 0.544

Computed properties:
The density is 5.29 g/cm3.

=====

<x>
# AlTe2P

A geometry-optimized AlTe2P structure (GGA-PBE, the Alexandria database).

Lattice parameters (Å, degrees): 5.568 5.568 8.699 71.34 71.34 90.00
Positions (direct):
P: 0.000 0.000 0.000
P: 0.750 0.250 0.500
Te: 0.113 0.625 0.250
Te: 0.875 0.887 0.750
Te: 0.375 0.363 0.750
Te: 0.637 0.125 0.250
Al: 0.250 0.750 0.500
Al: 0.500 0.500 0.000

Computed properties:
The density is 4.33 g/cm3.

=====

Which of them is most stable, and which least? Most stable: <w>; least stable: <x>.

=====

<w>
# AlTe2P

A geometry-optimized AlTe2P structure (GGA-PBE, the Alexandria database).

Lattice parameters (Å, degrees): 3.424 3.424 8.886 90.00 90.00 90.00
Positions (direct):
P: 0.500 0.500 0.587
Al: 0.000 0.000 0.652
Te: 0.500 0.500 0.311
Te: 0.000 0.000 0.950

Computed properties:
The density is 4.99 g/cm3.

=====

<x>
# AlTe2P

A geometry-optimized AlTe2P structure (GGA-PBE, the Alexandria database).

Lattice parameters (Å, degrees): 8.835 8.835 8.835 25.85 25.85 25.85
Positions (direct):
Te: 0.104 0.104 0.104
Te: 0.896 0.896 0.896
P: 0.000 0.000 0.000
Al: 0.500 0.500 0.500

Computed properties:
The density is 4.50 g/cm3.

=====

<y>
# AlTe2P

A geometry-optimized AlTe2P structure (GGA-PBE, the Alexandria database).

Lattice parameters (Å, degrees): 7.352 7.352 7.352 148.44 149.25 44.64
Positions (direct):
Te: 0.399 0.399 0.000
Te: 0.101 0.101 0.000
P: 0.250 0.750 0.500
Al: 0.750 0.250 0.500

Computed properties:
The density is 4.90 g/cm3.

=====

Which of them is most stable, and which least? Most stable: <w>; least stable: <x>.

=====

<w>
# TiAl2P2

A geometry-optimized TiAl2P2 structure (GGA-PBE, the Alexandria database).

Lattice parameters (Å, degrees): 6.859 6.859 3.302 90.00 90.00 90.00
Positions (direct):
P: 0.177 0.677 0.500
P: 0.323 0.177 0.500
P: 0.823 0.323 0.500
P: 0.677 0.823 0.500
Al: 0.132 0.368 0.000
Al: 0.368 0.868 0.000
Al: 0.868 0.632 0.000
Al: 0.632 0.132 0.000
Ti: 0.500 0.500 0.000
Ti: 0.000 0.000 0.000

Computed properties:
The density is 3.50 g/cm3.

=====

<x>
# TiAl2P2

A geometry-optimized TiAl2P2 structure (GGA-PBE, the Alexandria database).

Lattice parameters (Å, degrees): 4.702 4.702 5.111 62.62 62.62 90.00
Positions (direct):
Al: 0.340 0.340 0.320
Al: 0.660 0.660 0.680
P: 0.750 0.250 0.500
P: 0.250 0.750 0.500
Ti: 0.000 0.000 0.000

Computed properties:
The density is 3.17 g/cm3.

=====

Which of them is most stable, and which least? Most stable: <w>; least stable: <x>.

=====

<w>
# Ti3AlP

A geometry-optimized Ti3AlP structure (GGA-PBE, the Alexandria database).

Lattice parameters (Å, degrees): 4.625 6.291 6.851 81.72 90.00 111.57
Positions (direct):
Ti: 0.716 0.431 0.854
Ti: 0.284 0.569 0.146
Ti: 0.161 0.321 0.524
Ti: 0.039 0.078 0.202
Ti: 0.961 0.922 0.798
Ti: 0.839 0.679 0.476
Al: 0.635 0.270 0.316
Al: 0.365 0.730 0.684
P: 0.845 0.690 0.119
P: 0.155 0.310 0.881

Computed properties:
The density is 3.65 g/cm3.

=====

<x>
# Ti3AlP

A geometry-optimized Ti3AlP structure (GGA-PBE, the Alexandria database).

Lattice parameters (Å, degrees): 4.520 4.520 4.520 90.00 90.00 90.00
Positions (direct):
Ti: 0.000 0.500 0.000
Ti: 0.000 0.000 0.500
Ti: 0.500 0.000 0.000
P: 0.000 0.000 0.000
Al: 0.500 0.500 0.500

Computed properties:
The density is 3.63 g/cm3.

=====

Which of them is most stable, and which least? Most stable: <w>; least stable: <x>.

=====

<w>
# AlTlP2

A geometry-optimized AlTlP2 structure (GGA-PBE, the Alexandria database).

Lattice parameters (Å, degrees): 5.792 5.792 7.059 65.78 65.78 90.00
Positions (direct):
P: 0.162 0.625 0.250
P: 0.375 0.412 0.750
P: 0.875 0.838 0.750
P: 0.588 0.125 0.250
Al: 0.250 0.750 0.500
Al: 0.500 0.500 0.000
Tl: 0.000 0.000 0.000
Tl: 0.750 0.250 0.500

Computed properties:
The density is 5.05 g/cm3.

=====

<x>
# AlTlP2

A geometry-optimized AlTlP2 structure (GGA-PBE, the Alexandria database).

Lattice parameters (Å, degrees): 5.667 5.667 5.667 146.86 120.87 69.49
Positions (direct):
P: 0.973 0.973 0.000
P: 0.808 0.308 0.500
Al: 0.212 0.712 0.500
Tl: 0.508 0.508 0.000

Computed properties:
The density is 5.79 g/cm3.

=====

Which of them is most stable, and which least? Most stable: <w>; least stable: <x>.